This record from Alexandria via LeMat-Bulk describes Ga2GeMoH after structural relaxation. The functional is PBE-GGA. Values from VASP.

Cell and atoms, written as Quantum ESPRESSO input:
```
&SYSTEM
  ibrav = 0, nat = 5, ntyp = 4
/
ATOMIC_SPECIES
Ga 69.72 Ga.upf
Ge 72.64 Ge.upf
Mo 95.94 Mo.upf
H 1.01 H.upf
CELL_PARAMETERS angstrom
5.015 0.000 0.000
0.000 5.015 0.000
0.000 0.000 5.009
ATOMIC_POSITIONS crystal
Ga 0.000 0.500 0.000
Ga 0.500 0.000 0.000
Ge 0.000 0.000 0.000
Mo 0.000 0.000 0.500
H 0.500 0.500 0.500
```

The calculation puts the calculated density at 4.1 Mg/m³. The calculation puts the energy at -3.61 eV per atom. The value obtained for the size of the total moment is 3.5 μB/cell. The space-group type is P4/mmm.

***

This record from Alexandria via LeMat-Bulk describes B2C3 after structural relaxation. The functional is PBE-GGA. Values from VASP.

Cell and atoms, written as Quantum ESPRESSO input:
```
&SYSTEM
  ibrav = 0, nat = 10, ntyp = 2
/
ATOMIC_SPECIES
B 10.81 B.upf
C 12.01 C.upf
CELL_PARAMETERS angstrom
1.282 0.740 11.412
-1.282 0.740 11.412
0.000 -1.481 11.412
ATOMIC_POSITIONS crystal
B 0.000 0.000 0.000
B 0.050 0.050 0.050
B 0.636 0.636 0.636
B 0.844 0.844 0.844
C 0.197 0.197 0.197
C 0.241 0.241 0.241
C 0.404 0.404 0.404
C 0.448 0.448 0.448
C 0.590 0.590 0.590
C 0.796 0.796 0.796
```

The calculation puts the calculated density at 2.9 Mg/m³. The value obtained for the energy of formation from the pure elements is 0.414 eV per atom. The value obtained for the size of the total moment is 0.0 μB/cell. For the offset from the most stable computed form, the calculation gives 178 meV/atom. The space-group type is R3m.

***

This record from Alexandria via LeMat-Bulk describes Er2AlSi2Ni5 after structural relaxation. The functional is PBE-GGA. Values from VASP.

Cell and atoms, written as Quantum ESPRESSO input:
```
&SYSTEM
  ibrav = 0, nat = 20, ntyp = 4
/
ATOMIC_SPECIES
Er 167.26 Er.upf
Al 26.98 Al.upf
Si 28.09 Si.upf
Ni 58.69 Ni.upf
CELL_PARAMETERS angstrom
9.567 0.000 0.000
0.000 9.567 0.000
0.000 0.000 3.213
ATOMIC_POSITIONS crystal
Er 0.178 0.322 0.000
Er 0.322 0.822 0.000
Er 0.678 0.178 0.000
Er 0.822 0.678 0.000
Al 0.000 0.000 0.000
Al 0.500 0.500 0.000
Si 0.120 0.620 0.000
Si 0.380 0.120 0.000
Si 0.620 0.880 0.000
Si 0.880 0.380 0.000
Ni 0.000 0.500 0.500
Ni 0.057 0.791 0.500
Ni 0.209 0.057 0.500
Ni 0.291 0.557 0.500
Ni 0.443 0.291 0.500
Ni 0.500 0.000 0.500
Ni 0.557 0.709 0.500
Ni 0.709 0.443 0.500
Ni 0.791 0.943 0.500
Ni 0.943 0.209 0.500
```

The calculation puts the calculated density at 8.0 Mg/m³. The calculation puts the energy at -5.80 eV per atom. The value obtained for the size of the total moment is 0.0 μB/cell. The space-group type is P4/mbm.

***

This record from Alexandria via LeMat-Bulk describes TlAg4Cl5 after structural relaxation. The functional is PBE-GGA. Values from VASP.

Cell and atoms, written as Quantum ESPRESSO input:
```
&SYSTEM
  ibrav = 0, nat = 20, ntyp = 3
/
ATOMIC_SPECIES
Tl 204.38 Tl.upf
Ag 107.87 Ag.upf
Cl 35.45 Cl.upf
CELL_PARAMETERS angstrom
4.347 0.000 0.000
-2.173 3.764 0.000
0.000 0.000 36.966
ATOMIC_POSITIONS crystal
Tl 0.000 0.000 0.000
Tl 0.000 0.000 0.223
Ag 0.000 0.000 0.431
Ag 0.000 0.000 0.616
Ag 0.000 0.000 0.800
Ag 0.333 0.667 0.115
Ag 0.333 0.667 0.339
Ag 0.333 0.667 0.523
Ag 0.333 0.667 0.708
Ag 0.333 0.667 0.892
Cl 0.000 0.000 0.135
Cl 0.000 0.000 0.359
Cl 0.000 0.000 0.544
Cl 0.000 0.000 0.728
Cl 0.000 0.000 0.911
Cl 0.333 0.667 0.044
Cl 0.333 0.667 0.267
Cl 0.333 0.667 0.452
Cl 0.333 0.667 0.636
Cl 0.333 0.667 0.819
```

The calculation puts the calculated density at 4.5 Mg/m³. The calculation puts the energy at -2.84 eV per atom. The value obtained for the size of the total moment is 0.0 μB/cell. The space-group type is P3m1.